K3As4Pd7 | PBE | optimized geometry

## Properties
Energy   -63.3 eV per cell
Space-group type   C2/m, No. 12
Volume   21.90 Å³/atom
E_form   -486 kJ/mol of formula units

Cell lengths 4.297, 8.953, 8.608 Å; angles 77.10, 75.55, 76.12 degrees
Fractional coordinates of all 14 atoms:
1 K 0.286 0.214 0.214
2 K 0.714 0.786 0.786
3 K 0.000 0.500 0.500
4 As 0.668 0.521 0.142
5 As 0.332 0.479 0.858
6 As 0.895 0.899 0.311
7 As 0.105 0.101 0.689
8 Pd 0.305 0.910 0.480
9 Pd 0.497 0.190 0.816
10 Pd 0.864 0.348 0.924
11 Pd 0.695 0.090 0.520
12 Pd 0.136 0.652 0.076
13 Pd 0.000 0.000 0.000
14 Pd 0.503 0.810 0.184



KAs2Pd5 | PBE | optimized geometry

## Properties
Energy   -39.4 eV per cell
Space-group type   Immm, No. 71
Volume   18.81 Å³/atom
E_form   -296 kJ/mol of formula units

Cell lengths 4.083, 6.553, 6.553 Å; angles 67.78, 71.85, 71.85 degrees
Fractional coordinates of all 8 atoms:
1 K 0.000 0.000 0.000
2 As 0.758 0.742 0.742
3 As 0.242 0.258 0.258
4 Pd 0.000 0.500 0.500
5 Pd 0.657 0.533 0.153
6 Pd 0.343 0.467 0.847
7 Pd 0.343 0.847 0.467
8 Pd 0.657 0.153 0.533



KAs2Pd2 | PBE | optimized geometry

## Properties
Energy   -44.0 eV per cell
Space-group type   P4/mbm, No. 127
Volume   19.59 Å³/atom
E_form   -118 kJ/mol of formula units

Cell lengths 8.100, 8.100, 2.986 Å; angles 90.00, 90.00, 90.00 degrees
Fractional coordinates of all 10 atoms:
1 As 0.147 0.647 0.500
2 As 0.647 0.853 0.500
3 As 0.853 0.353 0.500
4 As 0.353 0.147 0.500
5 K 0.000 0.000 0.000
6 K 0.500 0.500 0.000
7 Pd 0.373 0.873 0.000
8 Pd 0.873 0.627 0.000
9 Pd 0.627 0.127 0.000
10 Pd 0.127 0.373 0.000



KAs3Pd3 | PBE | optimized geometry

## Properties
Energy   -65.0 eV per cell
Space-group type   Pm-3n, No. 223
Volume   24.01 Å³/atom
E_form   -180 kJ/mol of formula units
Distance to the lowest polymorph of the same formula   74 meV per atom

Cell lengths 6.953, 6.953, 6.953 Å; angles 90.00, 90.00, 90.00 degrees
Fractional coordinates of all 14 atoms:
1 As 0.000 0.250 0.500
2 As 0.000 0.750 0.500
3 As 0.500 0.000 0.750
4 As 0.750 0.500 0.000
5 As 0.500 0.000 0.250
6 As 0.250 0.500 0.000
7 K 0.500 0.500 0.500
8 K 0.000 0.000 0.000
9 Pd 0.250 0.000 0.500
10 Pd 0.000 0.500 0.250
11 Pd 0.500 0.750 0.000
12 Pd 0.750 0.000 0.500
13 Pd 0.000 0.500 0.750
14 Pd 0.500 0.250 0.000



K3As2Pd4 | PBE | optimized geometry

## Properties
Energy   -36.5 eV per cell
Space-group type   C2/m, No. 12
Volume   24.99 Å³/atom
E_form   -299 kJ/mol of formula units

Cell lengths 4.329, 6.468, 9.050 Å; angles 108.44, 90.00, 109.55 degrees
Fractional coordinates of all 9 atoms:
1 K 0.373 0.747 0.624
2 K 0.000 0.000 0.000
3 K 0.627 0.253 0.376
4 As 0.323 0.646 0.220
5 As 0.677 0.354 0.780
6 Pd 0.734 0.468 0.078
7 Pd 0.090 0.181 0.644
8 Pd 0.910 0.819 0.356
9 Pd 0.266 0.532 0.922



K2AsPd2 | PBE | optimized geometry

## Properties
Energy   -36.0 eV per cell
Space-group type   I4_1/amd, No. 141
Volume   33.75 Å³/atom
E_form   -77 kJ/mol of formula units
Distance to the lowest polymorph of the same formula   64 meV per atom

Cell lengths 4.457, 4.457, 17.283 Å; angles 97.41, 97.41, 90.00 degrees
Fractional coordinates of all 10 atoms:
1 K 0.821 0.821 0.643
2 K 0.571 0.071 0.143
3 K 0.929 0.429 0.857
4 K 0.179 0.179 0.357
5 As 0.500 0.500 0.000
6 As 0.250 0.750 0.500
7 Pd 0.471 0.971 0.943
8 Pd 0.721 0.721 0.443
9 Pd 0.279 0.279 0.557
10 Pd 0.029 0.529 0.057



KAs2Pd | PBE | optimized geometry

## Properties
Energy   -31.9 eV per cell
Space-group type   I-42d, No. 122
Volume   24.16 Å³/atom
E_form   -37 kJ/mol of formula units
Distance to the lowest polymorph of the same formula   327 meV per atom

Cell lengths 7.872, 7.872, 6.380 Å; angles 51.91, 51.91, 90.00 degrees
Fractional coordinates of all 8 atoms:
1 As 0.708 0.125 0.250
2 As 0.042 0.625 0.250
3 As 0.375 0.292 0.750
4 As 0.875 0.958 0.750
5 K 0.500 0.500 0.000
6 K 0.250 0.750 0.500
7 Pd 0.000 0.000 0.000
8 Pd 0.750 0.250 0.500



K6As2Pd | PBE | optimized geometry

## Properties
Energy   -23.9 eV per cell
Space-group type   R-3m, No. 166
Volume   33.25 Å³/atom
E_form   -273 kJ/mol of formula units

Cell lengths 5.784, 5.784, 10.857 Å; angles 74.55, 74.55, 60.00 degrees
Fractional coordinates of all 9 atoms:
1 K 0.583 0.583 0.252
2 K 0.810 0.810 0.570
3 K 0.698 0.698 0.905
4 K 0.190 0.190 0.430
5 K 0.417 0.417 0.748
6 K 0.302 0.302 0.095
7 As 0.918 0.918 0.247
8 As 0.082 0.082 0.753
9 Pd 0.000 0.000 0.000



KAs2Pd | PBE | optimized geometry

## Properties
Energy   -17.3 eV per cell
Space-group type   P2/m, No. 10
Volume   26.14 Å³/atom
E_form   -163 kJ/mol of formula units
Distance to the lowest polymorph of the same formula   0 meV per atom

Cell lengths 4.108, 4.254, 6.110 Å; angles 90.00, 78.37, 90.00 degrees
Fractional coordinates of all 4 atoms:
1 K 0.500 0.500 0.500
2 As 0.777 0.000 0.868
3 As 0.223 0.000 0.132
4 Pd 0.000 0.500 0.000



KAs6Pd12 | PBE | optimized geometry

## Properties
Energy   -97.9 eV per cell
Space-group type   R-3m, No. 166
Volume   18.32 Å³/atom
E_form   -631 kJ/mol of formula units

Cell lengths 7.300, 7.300, 7.300 Å; angles 103.85, 103.85, 103.85 degrees
Fractional coordinates of all 19 atoms:
1 K 0.000 0.000 0.000
2 As 0.674 0.239 0.239
3 As 0.239 0.239 0.674
4 As 0.239 0.674 0.239
5 As 0.761 0.761 0.326
6 As 0.326 0.761 0.761
7 As 0.761 0.326 0.761
8 Pd 0.874 0.126 0.500
9 Pd 0.825 0.550 0.550
10 Pd 0.550 0.550 0.825
11 Pd 0.450 0.175 0.450
12 Pd 0.450 0.450 0.175
13 Pd 0.175 0.450 0.450
14 Pd 0.126 0.500 0.874
15 Pd 0.500 0.874 0.126
16 Pd 0.126 0.874 0.500
17 Pd 0.874 0.500 0.126
18 Pd 0.500 0.126 0.874
19 Pd 0.550 0.825 0.550



KAs2Pd4 | PBE | optimized geometry

## Properties
Energy   -67.9 eV per cell
Space-group type   P4_2/mnm, No. 136
Volume   18.37 Å³/atom
E_form   -267 kJ/mol of formula units

Cell lengths 3.865, 8.156, 8.156 Å; angles 90.00, 90.00, 90.00 degrees
Fractional coordinates of all 14 atoms:
1 K 0.500 0.000 0.000
2 K 0.000 0.500 0.500
3 As 0.000 0.225 0.775
4 As 0.000 0.775 0.225
5 As 0.500 0.725 0.725
6 As 0.500 0.275 0.275
7 Pd 0.000 0.082 0.335
8 Pd 0.000 0.918 0.665
9 Pd 0.500 0.165 0.582
10 Pd 0.500 0.835 0.418
11 Pd 0.500 0.418 0.835
12 Pd 0.500 0.582 0.165
13 Pd 0.000 0.335 0.082
14 Pd 0.000 0.665 0.918



KAs2Pd | PBE | optimized geometry

## Properties
Energy   -15.0 eV per cell
Space-group type   Fm-3m, No. 225
Volume   20.30 Å³/atom
E_form   53 kJ/mol of formula units
Distance to the lowest polymorph of the same formula   558 meV per atom

Cell lengths 4.861, 4.861, 4.861 Å; angles 60.00, 60.00, 60.00 degrees
Fractional coordinates of all 4 atoms:
1 As 0.250 0.250 0.250
2 As 0.750 0.750 0.750
3 K 0.000 0.000 0.000
4 Pd 0.500 0.500 0.500